Entry a
# YMg2Tc (meta-GGA SCAN, PBEsol geometry)
# DOS(E_F): 0.255 states/eV per atom
# space-group type: F-43m (216)
data_YMg2Tc
_chemical_formula_sum 'Y1 Mg2 Tc1'
_cell_length_a 4.8177
_cell_length_b 4.8177
_cell_length_c 4.8177
_cell_angle_alpha 60.00
_cell_angle_beta 60.00
_cell_angle_gamma 60.00
_symmetry_space_group_name_H-M 'P 1'
_symmetry_Int_Tables_number 1
loop_
_symmetry_equiv_pos_as_xyz
'x,y,z'
loop_
_atom_site_label
_atom_site_type_symbol
_atom_site_fract_x
_atom_site_fract_y
_atom_site_fract_z
Y1 Y 0.0000 0.0000 0.0000
Mg1 Mg 0.5000 0.5000 0.5000
Mg2 Mg 0.7500 0.7500 0.7500
Tc1 Tc 0.2500 0.2500 0.2500

=====

Entry b
# YMg2Tc (meta-GGA SCAN, PBEsol geometry)
# DOS(E_F): 0.853 states/eV per atom
# space-group type: R-3m (166)
data_YMg2Tc
_chemical_formula_sum 'Y1 Mg2 Tc1'
_cell_length_a 10.4724
_cell_length_b 10.4724
_cell_length_c 10.4724
_cell_angle_alpha 16.38
_cell_angle_beta 16.38
_cell_angle_gamma 16.38
_symmetry_space_group_name_H-M 'P 1'
_symmetry_Int_Tables_number 1
loop_
_symmetry_equiv_pos_as_xyz
'x,y,z'
loop_
_atom_site_label
_atom_site_type_symbol
_atom_site_fract_x
_atom_site_fract_y
_atom_site_fract_z
Y1 Y 0.0000 0.0000 0.0000
Mg1 Mg 0.2385 0.2385 0.2385
Mg2 Mg 0.7615 0.7615 0.7615
Tc1 Tc 0.5000 0.5000 0.5000

=====

Need the numbers? Relative energies in meV/atom: entry a 0; entry b 179.